! SrFe2Re2 PBE relaxed; values from VASP
&SYSTEM
  ibrav = 0, nat = 10, ntyp = 3
/
ATOMIC_SPECIES
Re 186.21 Re.upf
Fe 55.84 Fe.upf
Sr 87.62 Sr.upf
CELL_PARAMETERS angstrom
-7.6238 0.7385 0.2696
-0.4343 -1.7660 -7.4453
-0.2302 -2.6064 0.6316
ATOMIC_POSITIONS crystal
Re 0.1577 0.6577 0.5000
Re 0.6577 0.8423 0.5000
Re 0.8423 0.3423 0.5000
Re 0.3423 0.1577 0.5000
Fe 0.3791 0.8791 0.0000
Fe 0.8791 0.6209 0.0000
Fe 0.6209 0.1209 0.0000
Fe 0.1209 0.3791 0.0000
Sr 0.0000 0.0000 0.0000
Sr 0.5000 0.5000 0.0000
! Space group ... P4/mbm (127)
! Offset from the most stable computed form ... 1.11 eV/f.u.
! Total magnetization ... 0.00 μB/f.u.
! Formation energy from the elements ... 3.0 eV/f.u.
! Volume ... 15.81 Å³ per atom